[1]
# PmPrTm2Sc

A relaxed structure of PmPrTm2Sc (PBE, the Alexandria database).

Geometry as POSCAR:
```
PmPrTm2Sc
1.0
-3.1737 2.2949 -4.0120
-6.4127 -6.8503 1.1544
-1.3850 4.7256 3.7986
Pr Tm Pm Sc
2 4 2 2
Direct
0.7500 0.3062 0.7347
0.2500 0.6938 0.2653
0.7500 0.8956 0.5326
0.7500 0.6910 0.9271
0.2500 0.3090 0.0729
0.2500 0.1044 0.4674
0.7500 0.1018 0.1346
0.2500 0.8982 0.8654
0.2500 0.5005 0.6543
0.7500 0.4995 0.3457
```

Summary:
Formation energy   0.03 eV/atom
Symmetry   P2_1/m (11)

***

[2]
# NaSr2MgAu

A relaxed structure of NaSr2MgAu (PBE, the Alexandria database).

Geometry as POSCAR:
```
NaSr2MgAu
1.0
-2.3444 -5.2469 1.8887
1.1516 -2.4602 -5.4050
4.9938 -1.5881 1.7868
Na Sr Mg Au
1 2 1 1
Direct
0.0000 0.0000 0.5000
0.0000 0.5000 0.0000
0.5000 0.0000 0.0000
0.5000 0.5000 0.5000
0.0000 0.0000 0.0000
```

Summary:
Formation energy   -0.17 eV/atom
Symmetry   P4/mmm (123)
E above lowest polymorph   0.118 eV/atom

***

[3]
# ZrTl2Mo

A relaxed structure of ZrTl2Mo (PBE, the Alexandria database).

Geometry as POSCAR:
```
ZrTl2Mo
1.0
-9.0022 4.0897 -1.9603
-9.3973 1.1248 -3.4688
-9.9775 1.4228 -0.1830
Zr Tl Mo
1 2 1
Direct
0.4865 0.4865 0.4865
0.2443 0.2443 0.2443
0.0120 0.0120 0.0120
0.7572 0.7572 0.7572
```

Summary:
Formation energy   0.36 eV/atom
Symmetry   R3m (160)
E above lowest polymorph   0.033 eV/atom

***

[4]
# DySc

A relaxed structure of DySc (PBE, the Alexandria database).

Geometry as POSCAR:
```
DySc
1.0
-3.3112 -0.0994 0.5909
0.5970 -4.5300 2.5836
2.5173 3.2492 5.1152
Sc Dy
2 2
Direct
0.5612 0.2500 0.1243
0.4388 0.7500 0.8757
0.8311 0.2500 0.6606
0.1689 0.7500 0.3394
```

Summary:
Formation energy   0.04 eV/atom
Symmetry   P2_1/m (11)
E above lowest polymorph   0.000 eV/atom

***

[5]
# CaLa4Pr7

A relaxed structure of CaLa4Pr7 (PBE, the Alexandria database).

Geometry as POSCAR:
```
CaLa4Pr7
1.0
7.0769 1.7466 1.5909
5.1955 7.6239 3.5567
-0.2929 0.1442 9.8656
Pr La Ca
7 4 1
Direct
0.5000 0.0000 0.0000
0.0005 0.6618 0.3362
0.9995 0.3382 0.6638
0.2438 0.5004 0.0002
0.2541 0.8303 0.6626
0.7459 0.1697 0.3374
0.7562 0.4996 0.9998
0.5068 0.6617 0.3354
0.2516 0.1642 0.3319
0.4932 0.3383 0.6646
0.7484 0.8358 0.6681
0.0000 0.0000 0.0000
```

Summary:
Formation energy   0.02 eV/atom
Symmetry   P-1 (2)
E above lowest polymorph   0.000 eV/atom

***

[6]
# BSbSe2Br

A relaxed structure of BSbSe2Br (PBE, the Alexandria database).

Geometry as POSCAR:
```
BSbSe2Br
1.0
-2.4821 1.4130 -4.4956
3.7667 -2.4584 -2.8524
-2.9577 -4.7090 0.1529
Br B Se Sb
1 1 2 1
Direct
0.0000 0.0000 0.5000
0.5000 0.5000 0.5000
0.5000 0.0000 0.0000
0.0000 0.5000 0.0000
0.0000 0.0000 0.0000
```

Summary:
Symmetry   P4/mmm (123)
Formation energy without anion corrections   5.47 eV per formula unit
E above lowest polymorph   0.562 eV/atom